# 1
A plane-wave DFT calculation with PBE was carried out for a relaxed Sc5Cu crystal.

The space-group type is Amm2. The magnetic moment is 0.00 μB per atom. The distance to the lowest polymorph of the same formula is 0.49 eV/f.u. As for the raw total energy: -5.9284 eV/atom. Its energy relative to the elements is 0.031 eV per atom.

a b c (Å): 4.943 8.047 8.047
angles (deg): 24.33 90.00 90.00
Positions (direct):
Sc (0.000, 0.000, 0.000)
Sc (0.000, 0.315, 0.315)
Sc (0.500, 0.194, 0.194)
Sc (0.500, 0.539, 0.539)
Sc (0.500, 0.870, 0.870)
Cu (0.000, 0.655, 0.655)

# 2
A plane-wave DFT calculation with PBE was carried out for a relaxed Te2PtW crystal.

The space-group type is Pmmm. The magnetic moment is 0.00 μB per atom. The distance to the lowest polymorph of the same formula is 3.04 eV/f.u. As for the raw total energy: -5.5079 eV/atom. The uncorrected formation energy is 811 meV per atom.

a b c (Å): 3.326 4.529 5.406
angles (deg): 90.00 90.00 90.00
Positions (direct):
Te (0.000, 0.000, 0.000)
Te (0.500, 0.000, 0.500)
Pt (0.000, 0.500, 0.500)
W (0.500, 0.500, 0.000)

# 3
A plane-wave DFT calculation with PBE was carried out for a relaxed Ca3Sn3Bi2Pd crystal.

The space-group type is P-62m. The magnetic moment is 0.00 μB per atom. As for the raw total energy: -4.0573 eV/atom. Its energy relative to the elements is -0.616 eV per atom.

a b c (Å): 8.109 8.109 4.496
angles (deg): 90.00 90.00 120.00
Positions (direct):
Ca (0.000, 0.616, 0.000)
Ca (0.384, 0.384, 0.000)
Ca (0.616, 0.000, 0.000)
Sn (0.000, 0.226, 0.500)
Sn (0.226, 0.000, 0.500)
Sn (0.774, 0.774, 0.500)
Bi (0.333, 0.667, 0.500)
Bi (0.667, 0.333, 0.500)
Pd (0.000, 0.000, 0.000)

# 4
A plane-wave DFT calculation with PBE was carried out for a relaxed NpHgBr3 crystal.

The space-group type is R-3. The magnetic moment is 0.80 μB per atom. The distance to the lowest polymorph of the same formula is 0.00 eV/f.u. As for the raw total energy: -4.6928 eV/atom. The uncorrected formation energy is -1041 meV per atom.

a b c (Å): 10.784 10.784 10.784
angles (deg): 40.28 40.28 40.28
Positions (direct):
Np (0.167, 0.167, 0.167)
Np (0.833, 0.833, 0.833)
Hg (0.339, 0.339, 0.339)
Hg (0.661, 0.661, 0.661)
Br (0.083, 0.444, 0.808)
Br (0.192, 0.917, 0.556)
Br (0.444, 0.808, 0.083)
Br (0.556, 0.192, 0.917)
Br (0.808, 0.083, 0.444)
Br (0.917, 0.556, 0.192)

# 5
A plane-wave DFT calculation with PBE was carried out for a relaxed BeHg2P crystal.

The space-group type is P4/mmm. The magnetic moment is 0.00 μB per atom. The distance to the lowest polymorph of the same formula is 2.57 eV/f.u. As for the raw total energy: -1.7686 eV/atom. Its energy relative to the elements is 0.666 eV per atom.

a b c (Å): 2.954 2.954 8.339
angles (deg): 90.00 90.00 90.00
Positions (direct):
Be (0.000, 0.000, 0.000)
Hg (0.500, 0.500, 0.207)
Hg (0.500, 0.500, 0.793)
P (0.000, 0.000, 0.500)

# 6
A plane-wave DFT calculation with PBE was carried out for a relaxed RePPt crystal.

The space-group type is F-43m. The magnetic moment is 0.00 μB per atom. The distance to the lowest polymorph of the same formula is 0.95 eV/f.u. As for the raw total energy: -7.7679 eV/atom. Its energy relative to the elements is 0.198 eV per atom.

a b c (Å): 4.166 4.166 4.166
angles (deg): 60.00 60.00 60.00
Positions (direct):
Re (0.000, 0.000, 0.000)
P (0.250, 0.250, 0.250)
Pt (0.750, 0.750, 0.750)